! La5Pr4Sn4 (PBE-GGA, optimized geometry); values from VASP
&SYSTEM
  ibrav = 0, nat = 13, ntyp = 3
/
ATOMIC_SPECIES
La 138.91 La.upf
Pr 140.91 Pr.upf
Sn 118.71 Sn.upf
CELL_PARAMETERS angstrom
-4.3817 0.0829 2.2510
-5.8638 -5.0982 -5.8347
0.0403 -7.8268 5.7584
ATOMIC_POSITIONS crystal
La 0.7026 0.9071 0.6877
La 0.2974 0.0929 0.3123
La 0.3903 0.3123 0.9071
La 0.6097 0.6877 0.0929
La 0.0000 0.0000 0.0000
Pr 0.6011 0.3012 0.4966
Pr 0.3989 0.6988 0.5034
Pr 0.0977 0.5034 0.3012
Pr 0.9023 0.4966 0.6988
Sn 0.7675 0.3211 0.1439
Sn 0.2325 0.6789 0.8561
Sn 0.9114 0.8561 0.3211
Sn 0.0886 0.1439 0.6789
! Space-group type: I4/m, No. 87

=====

! La12PrSn3 (PBE-GGA, optimized geometry); values from VASP
&SYSTEM
  ibrav = 0, nat = 16, ntyp = 3
/
ATOMIC_SPECIES
Sn 118.71 Sn.upf
La 138.91 La.upf
Pr 140.91 Pr.upf
CELL_PARAMETERS angstrom
-1.5450 -4.6968 -1.1136
-0.8307 -0.8931 4.9193
-19.3018 6.8281 -2.0200
ATOMIC_POSITIONS crystal
Sn 0.0000 0.0000 0.7441
Sn 0.0000 0.0000 0.5000
Sn 0.0000 0.0000 0.2559
La 0.0000 0.5000 0.1338
La 0.5000 0.5000 0.2579
La 0.0000 0.5000 0.3787
La 0.5000 0.0000 0.1338
La 0.5000 0.0000 0.3787
La 0.5000 0.0000 0.8662
La 0.5000 0.5000 0.5000
La 0.0000 0.5000 0.8662
La 0.5000 0.5000 0.0000
La 0.5000 0.0000 0.6213
La 0.0000 0.5000 0.6213
La 0.5000 0.5000 0.7421
Pr 0.0000 0.0000 0.0000
! Space-group type: P4/mmm, No. 123

=====

! La8Pr6Sn (PBE-GGA, optimized geometry); values from VASP
&SYSTEM
  ibrav = 0, nat = 15, ntyp = 3
/
ATOMIC_SPECIES
Pr 140.91 Pr.upf
La 138.91 La.upf
Sn 118.71 Sn.upf
CELL_PARAMETERS angstrom
-7.3582 3.0351 -3.1365
-6.4751 -3.7755 4.1244
-3.2581 5.5681 5.6191
ATOMIC_POSITIONS crystal
Pr 0.8275 0.5673 0.3897
Pr 0.5673 0.3897 0.8275
Pr 0.4327 0.6103 0.1725
Pr 0.3897 0.8275 0.5673
Pr 0.1725 0.4327 0.6103
Pr 0.6103 0.1725 0.4327
La 0.7585 0.7585 0.7585
La 0.0497 0.8728 0.3753
La 0.6247 0.9503 0.1272
La 0.3753 0.0497 0.8728
La 0.1272 0.6247 0.9503
La 0.9503 0.1272 0.6247
La 0.2415 0.2415 0.2415
La 0.8728 0.3753 0.0497
Sn 0.0000 0.0000 0.0000
! Space-group type: R-3, No. 148

=====

! La3PrSn12 (PBE-GGA, optimized geometry); values from VASP
&SYSTEM
  ibrav = 0, nat = 16, ntyp = 3
/
ATOMIC_SPECIES
Sn 118.71 Sn.upf
La 138.91 La.upf
Pr 140.91 Pr.upf
CELL_PARAMETERS angstrom
4.8027 0.0000 0.0000
0.0000 4.8027 0.0000
0.0000 0.0000 19.1942
ATOMIC_POSITIONS crystal
Sn 0.0000 0.5000 0.8759
Sn 0.5000 0.0000 0.8759
Sn 0.5000 0.5000 0.7507
Sn 0.0000 0.5000 0.6254
Sn 0.5000 0.5000 0.0000
Sn 0.5000 0.5000 0.2493
Sn 0.5000 0.0000 0.1241
Sn 0.0000 0.5000 0.1241
Sn 0.5000 0.5000 0.5000
Sn 0.5000 0.0000 0.6254
Sn 0.5000 0.0000 0.3746
Sn 0.0000 0.5000 0.3746
La 0.0000 0.0000 0.7506
La 0.0000 0.0000 0.5000
La 0.0000 0.0000 0.2494
Pr 0.0000 0.0000 0.0000
! Space-group type: P4/mmm, No. 123

=====

| no. | DFT formation energy (eV per atom) |
| --- | --- |
| 1 | -0.539 |
| 2 | -0.353 |
| 3 | 0.017 |
| 4 | -0.563 |